1) Density functional theory data (PBE) for a geometry-optimized BeAl2Zn structure.

```
data_BeAl2Zn
_cell_length_a 8.1419
_cell_length_b 2.8889
_cell_length_c 5.0513
_cell_angle_alpha 90.00
_cell_angle_beta 102.42
_cell_angle_gamma 90.00
_symmetry_space_group_name_H-M 'C 1 2/m 1'
_symmetry_Int_Tables_number 12
_symmetry_space_group_name_Hall '-C 2y'
loop_
_atom_site_label
_atom_site_type_symbol
_atom_site_fract_x
_atom_site_fract_y
_atom_site_fract_z
Be1 Be 0.0000 0.0000 0.0000
Al1 Al 0.2435 0.5000 0.2345
Zn1 Zn 0.0000 0.5000 0.5000
```

Properties
**Crystal system**: monoclinic

2) Density functional theory data (PBE) for a geometry-optimized BeAl2Zn structure.

```
data_BeAl2Zn
_cell_length_a 6.1233
_cell_length_b 6.1233
_cell_length_c 6.1233
_cell_angle_alpha 90.00
_cell_angle_beta 90.00
_cell_angle_gamma 90.00
_symmetry_space_group_name_H-M 'F m -3 m'
_symmetry_Int_Tables_number 225
_symmetry_space_group_name_Hall '-F 4 2 3'
loop_
_atom_site_label
_atom_site_type_symbol
_atom_site_fract_x
_atom_site_fract_y
_atom_site_fract_z
Be1 Be 0.0000 0.0000 0.0000
Al1 Al 0.2500 0.2500 0.2500
Zn1 Zn 0.0000 0.0000 0.5000
```

Properties
**Crystal system**: cubic

3) Density functional theory data (PBE) for a geometry-optimized BeAl2Zn structure.

```
data_BeAl2Zn
_cell_length_a 2.7477
_cell_length_b 2.7477
_cell_length_c 7.4588
_cell_angle_alpha 90.00
_cell_angle_beta 90.00
_cell_angle_gamma 90.00
_symmetry_space_group_name_H-M 'P 4 m m'
_symmetry_Int_Tables_number 99
_symmetry_space_group_name_Hall 'P 4 -2'
loop_
_atom_site_label
_atom_site_type_symbol
_atom_site_fract_x
_atom_site_fract_y
_atom_site_fract_z
Be1 Be 0.0000 0.0000 0.0000
Al1 Al 0.0000 0.0000 0.4824
Al2 Al 0.5000 0.5000 0.7735
Zn1 Zn 0.5000 0.5000 0.2116
```

Properties
**Crystal system**: tetragonal

Which structure is most stable? 3), by 47 meV/atom over the runner-up.

1) Density functional theory data (PBE) for a geometry-optimized BeAl2Zn structure.

```
data_BeAl2Zn
_cell_length_a 3.8306
_cell_length_b 3.8306
_cell_length_c 7.8047
_cell_angle_alpha 90.00
_cell_angle_beta 90.00
_cell_angle_gamma 90.00
_symmetry_space_group_name_H-M 'I -4 m 2'
_symmetry_Int_Tables_number 119
_symmetry_space_group_name_Hall 'I -4 -2'
loop_
_atom_site_label
_atom_site_type_symbol
_atom_site_fract_x
_atom_site_fract_y
_atom_site_fract_z
Be1 Be 0.0000 0.0000 0.0000
Al1 Al 0.0000 0.0000 0.5000
Al2 Al 0.0000 0.5000 0.2500
Zn1 Zn 0.0000 0.5000 0.7500
```

Properties
**Crystal system**: tetragonal

2) Density functional theory data (PBE) for a geometry-optimized BeAl2Zn structure.

```
data_BeAl2Zn
_cell_length_a 4.3133
_cell_length_b 4.3133
_cell_length_c 3.0850
_cell_angle_alpha 90.00
_cell_angle_beta 90.00
_cell_angle_gamma 90.00
_symmetry_space_group_name_H-M 'P 4/m m m'
_symmetry_Int_Tables_number 123
_symmetry_space_group_name_Hall '-P 4 2'
loop_
_atom_site_label
_atom_site_type_symbol
_atom_site_fract_x
_atom_site_fract_y
_atom_site_fract_z
Be1 Be 0.0000 0.0000 0.0000
Al1 Al 0.0000 0.5000 0.5000
Zn1 Zn 0.5000 0.5000 0.0000
```

Properties
**Crystal system**: tetragonal

Which structure is most stable? 1), by 101 meV/atom over the runner-up.

1) Density functional theory data (PBE) for a geometry-optimized BeAl2Zn structure.

```
data_BeAl2Zn
_cell_length_a 3.8677
_cell_length_b 3.8677
_cell_length_c 7.6408
_cell_angle_alpha 90.00
_cell_angle_beta 90.00
_cell_angle_gamma 90.00
_symmetry_space_group_name_H-M 'I 4/m m m'
_symmetry_Int_Tables_number 139
_symmetry_space_group_name_Hall '-I 4 2'
loop_
_atom_site_label
_atom_site_type_symbol
_atom_site_fract_x
_atom_site_fract_y
_atom_site_fract_z
Be1 Be 0.0000 0.0000 0.0000
Al1 Al 0.0000 0.5000 0.2500
Zn1 Zn 0.0000 0.0000 0.5000
```

Properties
**Crystal system**: tetragonal

2) Density functional theory data (PBE) for a geometry-optimized BeAl2Zn structure.

```
data_BeAl2Zn
_cell_length_a 5.4193
_cell_length_b 8.6401
_cell_length_c 2.7482
_cell_angle_alpha 90.00
_cell_angle_beta 113.95
_cell_angle_gamma 90.00
_symmetry_space_group_name_H-M 'C 1 2/m 1'
_symmetry_Int_Tables_number 12
_symmetry_space_group_name_Hall '-C 2y'
loop_
_atom_site_label
_atom_site_type_symbol
_atom_site_fract_x
_atom_site_fract_y
_atom_site_fract_z
Be1 Be 0.0000 0.0000 0.0000
Al1 Al 0.2500 0.2500 0.5000
Zn1 Zn 0.0000 0.5000 0.0000
```

Properties
**Crystal system**: monoclinic

3) Density functional theory data (PBE) for a geometry-optimized BeAl2Zn structure.

```
data_BeAl2Zn
_cell_length_a 5.5305
_cell_length_b 7.6743
_cell_length_c 2.7047
_cell_angle_alpha 90.00
_cell_angle_beta 90.00
_cell_angle_gamma 90.00
_symmetry_space_group_name_H-M 'C m m m'
_symmetry_Int_Tables_number 65
_symmetry_space_group_name_Hall '-C 2 2'
loop_
_atom_site_label
_atom_site_type_symbol
_atom_site_fract_x
_atom_site_fract_y
_atom_site_fract_z
Be1 Be 0.0000 0.0000 0.0000
Al1 Al 0.2500 0.2500 0.5000
Zn1 Zn 0.0000 0.5000 0.0000
```

Properties
**Crystal system**: orthorhombic

4) Density functional theory data (PBE) for a geometry-optimized BeAl2Zn structure.

```
data_BeAl2Zn
_cell_length_a 2.8470
_cell_length_b 2.8470
_cell_length_c 24.6621
_cell_angle_alpha 90.00
_cell_angle_beta 90.00
_cell_angle_gamma 120.00
_symmetry_space_group_name_H-M 'R -3 m'
_symmetry_Int_Tables_number 166
_symmetry_space_group_name_Hall '-R 3 2"'
loop_
_atom_site_label
_atom_site_type_symbol
_atom_site_fract_x
_atom_site_fract_y
_atom_site_fract_z
Be1 Be 0.0000 0.0000 0.0000
Al1 Al 0.0000 0.0000 0.2562
Zn1 Zn 0.0000 0.0000 0.5000
```

Properties
**Crystal system**: trigonal

Which structure is most stable? 4), by 43 meV/atom over the runner-up.

1) Density functional theory data (PBE) for a geometry-optimized BeAlZn2 structure.

```
data_BeAlZn2
_cell_length_a 2.7516
_cell_length_b 3.7586
_cell_length_c 5.3689
_cell_angle_alpha 90.00
_cell_angle_beta 90.00
_cell_angle_gamma 90.00
_symmetry_space_group_name_H-M 'P m m m'
_symmetry_Int_Tables_number 47
_symmetry_space_group_name_Hall '-P 2 2'
loop_
_atom_site_label
_atom_site_type_symbol
_atom_site_fract_x
_atom_site_fract_y
_atom_site_fract_z
Be1 Be 0.0000 0.0000 0.0000
Al1 Al 0.0000 0.0000 0.5000
Zn1 Zn 0.5000 0.5000 0.2332
```

Properties
**Crystal system**: orthorhombic

2) Density functional theory data (PBE) for a geometry-optimized BeAlZn2 structure.

```
data_BeAlZn2
_cell_length_a 6.0834
_cell_length_b 6.0834
_cell_length_c 6.0834
_cell_angle_alpha 90.00
_cell_angle_beta 90.00
_cell_angle_gamma 90.00
_symmetry_space_group_name_H-M 'F -4 3 m'
_symmetry_Int_Tables_number 216
_symmetry_space_group_name_Hall 'F -4 2 3'
loop_
_atom_site_label
_atom_site_type_symbol
_atom_site_fract_x
_atom_site_fract_y
_atom_site_fract_z
Be1 Be 0.0000 0.0000 0.0000
Al1 Al 0.2500 0.2500 0.2500
Zn1 Zn 0.0000 0.0000 0.5000
Zn2 Zn 0.2500 0.2500 0.7500
```

Properties
**Crystal system**: cubic

Which structure is most stable? 1), by 106 meV/atom over the runner-up.